[1]
The following is a DFT calculation (GGA-PBE) of crystalline CeUCl at its relaxed geometry.

Calculated values
formation energy from raw total energies	-0.44	eV per atom
space-group type	No. 43
DOS(E_F)	2.0435	states/eV/atom
E_tot	-6.79	eV/atom
calculated volume	24.53	A^3/atom

Unit cell a=7.211 b=7.328 c=7.211 alpha=72.66 beta=66.77 gamma=107.34
Last column: magnetic moment on the atom in μB.
Element x y z (fractional)
Ce (0.967, 0.832, 0.603)  0.20
Ce (0.385, 0.668, 0.685)  0.20
Cl (0.947, 0.246, 0.947)  0.00
U (0.327, 0.357, 0.034)  0.68
Cl (0.807, 0.754, 0.299)  0.00
Ce (0.565, 0.168, 0.865)  0.20
Cl (0.303, 0.746, 0.303)  0.00
U (0.216, 0.857, 0.923)  0.68
Cl (0.951, 0.254, 0.443)  0.00
U (0.220, 0.143, 0.641)  0.68
U (0.609, 0.643, 0.030)  0.68
Ce (0.647, 0.332, 0.283)  0.20



[2]
The following is a DFT calculation (GGA-PBE) of crystalline CeUCl6 at its relaxed geometry.

Calculated values
energy above the most stable polymorph in this dataset	7.9	meV per atom
formation energy from raw total energies	-1.91	eV per atom
space-group type	No. 12
DOS(E_F)	1.1709	states/eV/atom
E_tot	-5.45	eV/atom
calculated volume	35.23	A^3/atom

Unit cell a=6.939 b=6.992 c=6.992 alpha=120.49 beta=97.56 gamma=97.56
Last column: magnetic moment on the atom in μB.
Element x y z (fractional)
Cl (0.746, 0.251, 0.251)  -0.01
U (0.500, 0.500, 0.500)  2.72
Cl (0.746, 0.892, 0.595)  -0.02
Cl (0.254, 0.108, 0.405)  -0.02
Cl (0.254, 0.405, 0.108)  -0.02
Ce (0.000, 0.000, 0.000)  1.12
Cl (0.746, 0.595, 0.892)  -0.02
Cl (0.254, 0.749, 0.749)  -0.01



[3]
The following is a DFT calculation (GGA-PBE) of crystalline CeUCl6 at its relaxed geometry.

Calculated values
energy above the most stable polymorph in this dataset	0.0	meV per atom
formation energy from raw total energies	-1.92	eV per atom
space-group type	No. 148
DOS(E_F)	1.9842	states/eV/atom
E_tot	-5.46	eV/atom
calculated volume	33.66	A^3/atom

Unit cell a=6.953 b=6.954 c=7.581 alpha=62.71 beta=62.70 gamma=60.00
Last column: magnetic moment on the atom in μB.
Element x y z (fractional)
Cl (0.246, 0.902, 0.247)  -0.02
Cl (0.098, 0.395, 0.753)  -0.02
Cl (0.754, 0.098, 0.753)  -0.02
Cl (0.395, 0.754, 0.753)  -0.02
U (0.000, 0.000, 0.000)  2.77
Cl (0.605, 0.246, 0.247)  -0.02
Ce (0.500, 0.500, 0.500)  1.12
Cl (0.902, 0.605, 0.247)  -0.02



[4]
The following is a DFT calculation (GGA-PBE) of crystalline Ce2VCl at its relaxed geometry.

Calculated values
formation energy from raw total energies	-0.31	eV per atom
space-group type	No. 166
DOS(E_F)	2.1648	states/eV/atom
E_tot	-6.02	eV/atom
calculated volume	23.09	A^3/atom

Unit cell a=3.395 b=3.395 c=9.459 alpha=79.66 beta=79.66 gamma=60.00
Last column: magnetic moment on the atom in μB.
Element x y z (fractional)
Cl (0.500, 0.500, 0.500)  0.01
Ce (0.749, 0.749, 0.754)  0.83
V (0.000, 0.000, 0.000)  1.89
Ce (0.251, 0.251, 0.246)  0.83



[5]
The following is a DFT calculation (GGA-PBE) of crystalline CeVCl6 at its relaxed geometry.

Calculated values
formation energy from raw total energies	-1.69	eV per atom
space-group type	No. 12
DOS(E_F)	1.0558	states/eV/atom
E_tot	-4.96	eV/atom
calculated volume	29.37	A^3/atom

Unit cell a=6.868 b=6.868 c=6.338 alpha=97.67 beta=97.67 gamma=124.85
Last column: magnetic moment on the atom in μB.
Element x y z (fractional)
Cl (0.136, 0.420, 0.274)  -0.02
Cl (0.261, 0.261, 0.733)  -0.03
Cl (0.420, 0.136, 0.274)  -0.02
V (0.500, 0.500, 0.500)  2.09
Cl (0.580, 0.864, 0.726)  -0.02
Ce (0.000, 0.000, 0.000)  0.71
Cl (0.864, 0.580, 0.726)  -0.02
Cl (0.739, 0.739, 0.267)  -0.03



[6]
The following is a DFT calculation (GGA-PBE) of crystalline CeVCl2 at its relaxed geometry.

Calculated values
formation energy from raw total energies	-0.54	eV per atom
space-group type	No. 166
DOS(E_F)	1.3742	states/eV/atom
E_tot	-5.22	eV/atom
calculated volume	19.48	A^3/atom

Unit cell a=3.140 b=3.140 c=9.307 alpha=80.29 beta=80.29 gamma=60.00
Last column: magnetic moment on the atom in μB.
Element x y z (fractional)
Ce (0.000, 0.000, 0.000)  -0.60
Cl (0.892, 0.892, 0.323)  0.00
Cl (0.108, 0.108, 0.677)  0.00
V (0.500, 0.500, 0.500)  -0.17



> Among the records above, which one has the lowest DOS(E_F)?

CeVCl6



> Among the records above, which one has the highest DOS(E_F)?

Ce2VCl



> Among the records above, which one has the lowest DOS(E_F)?

CeVCl6



What did the first record say?
The following is a DFT calculation (GGA-PBE) of crystalline CeUCl at its relaxed geometry.

Calculated values
formation energy from raw total energies	-0.44	eV per atom
space-group type	No. 43
DOS(E_F)	2.0435	states/eV/atom
E_tot	-6.79	eV/atom
calculated volume	24.53	A^3/atom

Unit cell a=7.211 b=7.328 c=7.211 alpha=72.66 beta=66.77 gamma=107.34
Last column: magnetic moment on the atom in μB.
Element x y z (fractional)
Ce (0.967, 0.832, 0.603)  0.20
Ce (0.385, 0.668, 0.685)  0.20
Cl (0.947, 0.246, 0.947)  0.00
U (0.327, 0.357, 0.034)  0.68
Cl (0.807, 0.754, 0.299)  0.00
Ce (0.565, 0.168, 0.865)  0.20
Cl (0.303, 0.746, 0.303)  0.00
U (0.216, 0.857, 0.923)  0.68
Cl (0.951, 0.254, 0.443)  0.00
U (0.220, 0.143, 0.641)  0.68
U (0.609, 0.643, 0.030)  0.68
Ce (0.647, 0.332, 0.283)  0.20